(1)
The following is a PBE-GGA calculation of a relaxed structure of ZrAsIr, from Alexandria.

Results
The total moment comes out at 0.00 μB per atom. The density of states at the Fermi level is 2.38 states/eV per cell. As for the space group: P2_1, No. 4. Its formation energy is -0.762 eV/atom.

Structure (extended XYZ):
```
6
Lattice="3.9380 0.0000 -0.0148 0.0000 5.4717 0.0000 -1.9606 0.0000 4.8242" Properties=species:S:1:pos:R:3 pbc="T T T"
Zr -0.9740 4.1716 4.3456
As -0.9846 1.4352 3.4122
Ir 1.1657 0.0588 2.3984
As 2.9619 4.1710 1.3972
Zr 2.9514 1.4358 0.4638
Ir 0.8117 2.7947 2.4110
```

---

(2)
The following is a PBE-GGA calculation of a relaxed structure of ZrBeBr, from Alexandria.

Results
For the relative energy among the computed polymorphs, the calculation gives 1478 meV/atom. The total moment comes out at 0.00 μB per atom. The density of states at the Fermi level is 2.34 states/eV per cell. As for the space group: F-43m, No. 216. For the uncorrected formation energy, the calculation gives 0.65 eV/atom.

Structure (extended XYZ):
```
3
Lattice="-0.4116 1.2882 4.2020 0.7960 -2.8545 3.2717 3.5901 0.4799 2.5232" Properties=species:S:1:pos:R:3 pbc="T T T"
Zr 0.0000 0.0000 0.0000
Br 2.9808 -0.8149 7.4977
Be 1.9872 -0.5433 4.9985
```

---

(3)
The following is a PBE-GGA calculation of a relaxed structure of Si2HgBiS, from Alexandria.

Results
The total moment comes out at 0.00 μB per atom. The density of states at the Fermi level is 3.14 states/eV per cell. As for the space group: P4/mmm, No. 123. For the uncorrected formation energy, the calculation gives 1.33 eV/atom.

Structure (extended XYZ):
```
5
Lattice="5.4763 0.0000 0.0000 0.0000 5.6147 0.0000 0.0000 0.0000 5.4763" Properties=species:S:1:pos:R:3 pbc="T T T"
Si 0.0000 0.0000 2.7382
Bi 0.0000 0.0000 0.0000
Hg 0.0000 2.8073 0.0000
Si 2.7382 0.0000 0.0000
S 2.7382 2.8073 2.7382
```

---

Which formula does entry 2 have?
ZrBeBr